Record 1
Computed, not measured: a geometry-optimized Tb2Pr7Nd2 structure at the PBE level of DFT.

Values from the calculation:
- space group = C2/m, No. 12
- energy of formation from the pure elements (eV/atom) = 0.127

The structure in extended XYZ format:
```
11
Lattice="-2.388 1.310 7.987 5.600 -2.789 3.247 1.121 6.952 0.310" Properties=species:S:1:pos:R:3 pbc="T T T"
Tb 3.120 0.661 6.398
Tb 1.212 4.811 5.147
Pr 3.653 1.956 9.726
Pr 0.000 0.000 0.000
Pr 2.555 -0.562 3.048
Pr 1.777 6.035 8.497
Pr 4.270 3.977 6.680
Pr 0.062 1.495 4.865
Pr 0.679 3.516 1.818
Nd 0.862 2.821 8.042
Nd 3.470 2.652 3.503
```



Record 2
Computed, not measured: a geometry-optimized Zn2SnW structure at the PBE level of DFT.

Values from the calculation:
- space group = I-42d, No. 122
- energy of formation from the pure elements (eV/atom) = 0.697

The structure in extended XYZ format:
```
8
Lattice="7.417 0.000 0.000 0.000 7.417 0.000 3.709 3.709 2.710" Properties=species:S:1:pos:R:3 pbc="T T T"
Sn 3.709 7.417 1.355
Sn 3.709 3.709 0.000
Zn 5.686 1.854 0.677
Zn 5.563 5.440 2.032
Zn 1.731 5.563 0.677
Zn 9.271 9.395 2.032
W 0.000 0.000 0.000
W 7.417 3.709 1.355
```



Record 3
Computed, not measured: a geometry-optimized AcPr10Dy4 structure at the PBE level of DFT.

Values from the calculation:
- space group = I4/m, No. 87
- energy of formation from the pure elements (eV/atom) = 0.466

The structure in extended XYZ format:
```
15
Lattice="-5.222 3.661 2.946 1.636 1.423 9.506 1.746 9.582 -0.438" Properties=species:S:1:pos:R:3 pbc="T T T"
Dy -0.752 12.081 8.779
Dy -1.467 9.464 2.390
Dy -0.373 5.202 9.624
Dy -1.088 2.585 3.235
Pr -1.435 5.930 2.713
Pr 2.166 6.933 7.849
Pr -1.117 10.926 5.443
Pr -4.006 7.733 4.164
Pr -0.405 8.736 9.300
Pr -0.723 3.740 6.571
Pr -2.225 8.248 6.743
Pr -3.373 5.598 8.066
Pr 1.533 9.068 3.948
Pr 0.385 6.418 5.270
Ac 0.000 0.000 0.000
```